(a)
DFT (GGA-PBE) results for a relaxed KBe2Cr2 crystal.

Values from the calculation:
Its magnetization is 0.000 μB per atom. The volume comes out at 17.36 Å³ per atom.

abc: 3.4818 3.4818 7.5718
angles: 76.71 76.71 90.00
With the nearest neighbours (Å) after each atom.
Sites, in units of the cell vectors:
Be 0.3524 0.3524 0.2953  4 Cr 2.28
Be 0.6476 0.6476 0.7047  4 Cr 2.28
K 0.0000 0.0000 0.0000  8 Be 3.25, 4 K 3.48
Cr 0.2500 0.7500 0.5000  4 Be 2.28, 4 Cr 2.46
Cr 0.7500 0.2500 0.5000  4 Be 2.28, 4 Cr 2.46

(b)
DFT (GGA-PBE) results for a relaxed KBe2Cr2 crystal.

Values from the calculation:
Its magnetization is 0.000 μB per atom. The volume comes out at 14.68 Å³ per atom.

abc: 7.8902 7.8902 2.3586
angles: 90.00 90.00 90.00
With the nearest neighbours (Å) after each atom.
Sites, in units of the cell vectors:
Be 0.6681 0.1681 0.0000  2 Be 2.36, 4 Cr 2.48
Be 0.1681 0.3319 0.0000  2 Be 2.36, 4 Cr 2.48
Be 0.3319 0.8319 0.0000  2 Be 2.36, 4 Cr 2.48
Be 0.8319 0.6681 0.0000  2 Be 2.36, 4 Cr 2.48
Cr 0.1007 0.6007 0.5000  3 Cr 2.25-2.36, 4 Be 2.48
Cr 0.8993 0.3993 0.5000  3 Cr 2.25-2.36, 4 Be 2.48
Cr 0.3993 0.1007 0.5000  3 Cr 2.25-2.36, 4 Be 2.48
Cr 0.6007 0.8993 0.5000  3 Cr 2.25-2.36, 4 Be 2.48
K 0.5000 0.5000 0.0000  2 K 2.36
K 0.0000 0.0000 0.0000  2 K 2.36

In terms of stability, (b) leads; the second structure lies 11.5 kJ/mol of atoms higher.

(a)
DFT (GGA-PBE) results for a relaxed LaBeCr crystal.

Values from the calculation:
Its magnetization is 1.065 μB per atom. The volume comes out at 22.60 Å³ per atom.

abc: 4.5769 4.5769 4.5769
angles: 60.00 60.00 60.00
With the nearest neighbours (Å) after each atom.
Sites, in units of the cell vectors:
Cr 0.7500 0.7500 0.7500  4 Be 2.80, 4 La 2.80
Be 0.5000 0.5000 0.5000  4 Cr 2.80
La 0.0000 0.0000 0.0000  4 Cr 2.80

(b)
DFT (GGA-PBE) results for a relaxed LaBeCr crystal.

Values from the calculation:
Its magnetization is 0.924 μB per atom. The volume comes out at 20.89 Å³ per atom.

abc: 4.1433 4.1433 4.2156
angles: 90.00 90.00 120.00
With the nearest neighbours (Å) after each atom.
Sites, in units of the cell vectors:
Be 0.0000 0.0000 0.1667  3 Cr 2.39
Cr 0.3333 0.6667 0.1667  3 Be 2.39
La 0.6667 0.3333 0.6667  6 Cr 3.19, 6 Be 3.19

(c)
DFT (GGA-PBE) results for a relaxed LaBeCr crystal.

Values from the calculation:
Its magnetization is 1.186 μB per atom. The volume comes out at 25.51 Å³ per atom.

abc: 4.7654 4.7654 4.7654
angles: 60.00 60.00 60.00
With the nearest neighbours (Å) after each atom.
Sites, in units of the cell vectors:
Cr 0.5000 0.5000 0.5000  4 La 2.92
La 0.7500 0.7500 0.7500  4 Be 2.92, 4 Cr 2.92
Be 0.0000 0.0000 0.0000  4 La 2.92

In terms of stability, (b) leads; the second structure lies 36.2 kJ/mol of atoms higher.

(a)
DFT (GGA-PBE) results for a relaxed LaBe3Cr crystal.

Values from the calculation:
Its magnetization is 0.387 μB per atom. The volume comes out at 16.97 Å³ per atom.

abc: 4.3943 4.3943 4.3943
angles: 90.00 90.00 90.00
With the nearest neighbours (Å) after each atom.
Sites, in units of the cell vectors:
Be 0.0000 0.5000 0.0000  2 Cr 2.20
Be 0.0000 0.0000 0.5000  2 Cr 2.20
Be 0.5000 0.0000 0.0000  2 Cr 2.20
La 0.5000 0.5000 0.5000  12 Be 3.11
Cr 0.0000 0.0000 0.0000  6 Be 2.20

(b)
DFT (GGA-PBE) results for a relaxed LaBe3Cr crystal.

Values from the calculation:
Its magnetization is 0.864 μB per atom. The volume comes out at 23.49 Å³ per atom.

abc: 4.8973 4.8973 4.8973
angles: 90.00 90.00 90.00
With the nearest neighbours (Å) after each atom.
Sites, in units of the cell vectors:
Be 0.5000 0.0000 0.0000  2 La 2.45
Be 0.0000 0.5000 0.0000  2 La 2.45
Be 0.0000 0.0000 0.5000  2 La 2.45
La 0.0000 0.0000 0.0000  6 Be 2.45
Cr 0.5000 0.5000 0.5000  12 Be 3.46

In terms of stability, (a) leads; the second structure lies 160.8 kJ/mol of atoms higher.

(a)
DFT (GGA-PBE) results for a relaxed LaBeCr3 crystal.

Values from the calculation:
Its magnetization is 0.000 μB per atom. The volume comes out at 15.67 Å³ per atom.

abc: 4.2789 4.2789 4.2789
angles: 90.00 90.00 90.00
With the nearest neighbours (Å) after each atom.
Sites, in units of the cell vectors:
Cr 0.0000 0.0000 0.5000  2 Be 2.14
Cr 0.5000 0.0000 0.0000  2 Be 2.14
Cr 0.0000 0.5000 0.0000  2 Be 2.14
Be 0.0000 0.0000 0.0000  6 Cr 2.14
La 0.5000 0.5000 0.5000  12 Cr 3.03

(b)
DFT (GGA-PBE) results for a relaxed LaBeCr3 crystal.

Values from the calculation:
Its magnetization is 0.899 μB per atom. The volume comes out at 18.08 Å³ per atom.

abc: 4.4881 4.4881 4.4881
angles: 90.00 90.00 90.00
With the nearest neighbours (Å) after each atom.
Sites, in units of the cell vectors:
Cr 0.0000 0.5000 0.0000  2 La 2.24
Cr 0.0000 0.0000 0.5000  2 La 2.24
Cr 0.5000 0.0000 0.0000  2 La 2.24
Be 0.5000 0.5000 0.5000  12 Cr 3.17
La 0.0000 0.0000 0.0000  6 Cr 2.24

In terms of stability, (a) leads; the second structure lies 117.6 kJ/mol of atoms higher.

(a)
DFT (GGA-PBE) results for a relaxed Li3BeCr crystal.

Values from the calculation:
Its magnetization is 0.974 μB per atom. The volume comes out at 22.66 Å³ per atom.

abc: 4.8386 4.8386 4.8386
angles: 90.00 90.00 90.00
With the nearest neighbours (Å) after each atom.
Sites, in units of the cell vectors:
Li 0.0000 0.5000 0.0000  2 Cr 2.42
Li 0.0000 0.0000 0.5000  2 Cr 2.42
Li 0.5000 0.0000 0.0000  2 Cr 2.42
Cr 0.0000 0.0000 0.0000  6 Li 2.42
Be 0.5000 0.5000 0.5000  12 Li 3.42

(b)
DFT (GGA-PBE) results for a relaxed Li3BeCr crystal.

Values from the calculation:
Its magnetization is 0.000 μB per atom. The volume comes out at 14.22 Å³ per atom.

abc: 4.1431 4.1431 4.1431
angles: 90.00 90.00 90.00
With the nearest neighbours (Å) after each atom.
Sites, in units of the cell vectors:
Li 0.0000 0.0000 0.5000  2 Be 2.07
Li 0.0000 0.5000 0.0000  2 Be 2.07
Li 0.5000 0.0000 0.0000  2 Be 2.07
Cr 0.5000 0.5000 0.5000  12 Li 2.93
Be 0.0000 0.0000 0.0000  6 Li 2.07

In terms of stability, (a) leads; the second structure lies 0.9 kJ/mol of atoms higher.

(a)
DFT (GGA-PBE) results for a relaxed MgBeCr2 crystal.

Values from the calculation:
Its magnetization is 0.000 μB per atom. The volume comes out at 12.65 Å³ per atom.

abc: 2.5568 2.5568 8.1908
angles: 90.00 90.00 109.12
With the nearest neighbours (Å) after each atom.
Sites, in units of the cell vectors:
Cr 0.0000 0.0000 0.9958  2 Be 2.33, 6 Cr 2.37-2.56
Cr 0.5000 0.5000 0.2222  6 Cr 2.37-2.56
Mg 0.0000 0.0000 0.5064  4 Mg 2.56, 2 Be 2.66, 2 Cr 2.76
Be 0.5000 0.5000 0.7757  2 Cr 2.33, 4 Be 2.56

(b)
DFT (GGA-PBE) results for a relaxed MgBeCr2 crystal.

Values from the calculation:
Its magnetization is 0.000 μB per atom. The volume comes out at 12.53 Å³ per atom.

abc: 4.0877 2.4873 5.1958
angles: 71.60 90.00 90.00
With the nearest neighbours (Å) after each atom.
Sites, in units of the cell vectors:
Mg 0.5000 0.2500 0.2500  2 Mg 2.49, 2 Be 2.50, 4 Cr 2.71
Cr 0.0000 0.4958 0.5369  1 Cr 2.17
Cr 0.0000 0.0042 0.9631  1 Cr 2.17
Be 0.5000 0.7500 0.7500  2 Be 2.49, 8 Cr 2.50-2.75, 2 Mg 2.50

(c)
DFT (GGA-PBE) results for a relaxed MgBeCr2 crystal.

Values from the calculation:
Its magnetization is 0.018 μB per atom. The volume comes out at 13.27 Å³ per atom.

abc: 4.2171 4.2172 4.2211
angles: 120.05 120.05 89.81
With the nearest neighbours (Å) after each atom.
Sites, in units of the cell vectors:
Mg 0.5000 0.5000 0.0000  4 Be 2.58, 4 Cr 2.58
Be 0.7499 0.2501 0.5000  4 Mg 2.58, 4 Cr 2.58
Cr 0.0001 0.9999 0.0000  4 Cr 2.58, 4 Be 2.58
Cr 0.2499 0.7501 0.5000  4 Cr 2.58, 4 Mg 2.58

(d)
DFT (GGA-PBE) results for a relaxed MgBeCr2 crystal.

Values from the calculation:
Its magnetization is 0.118 μB per atom. The volume comes out at 13.34 Å³ per atom.

abc: 2.9470 2.9470 6.1431
angles: 90.00 90.00 90.00
With the nearest neighbours (Å) after each atom.
Sites, in units of the cell vectors:
Cr 0.0000 0.0000 0.0052  4 Cr 2.36, 4 Be 2.46
Cr 0.5000 0.5000 0.1866  4 Cr 2.36, 1 Be 2.42
Mg 0.0000 0.0000 0.5156  4 Be 2.69, 5 Cr 2.90-3.01, 4 Mg 2.95
Be 0.5000 0.5000 0.7926  5 Cr 2.42-2.46, 4 Mg 2.69

In terms of stability, (d) leads; the second structure lies 11.0 kJ/mol of atoms higher.